1.
# Hf2CuTe2

A geometry-optimized Hf2CuTe2 structure (PBE, the Open Quantum Materials Database).

The calculation puts the total energy at -5.650 eV per atom.

a b c (Å): 4.910 4.910 6.898
angles (deg): 110.85 110.85 90.00
Positions (direct):
Cu: 0.000 0.000 0.000
Hf: 0.624 0.624 0.247
Hf: 0.376 0.376 0.753
Te: 0.750 0.250 0.500
Te: 0.250 0.750 0.500

***

2.
# Hf2CuTe

A geometry-optimized Hf2CuTe structure (PBE, the Open Quantum Materials Database).

The calculation puts the total energy at -6.296 eV per atom.

a b c (Å): 4.846 4.846 4.846
angles (deg): 60.00 60.00 60.00
Positions (direct):
Cu: 0.250 0.250 0.250
Hf: 0.000 0.000 0.000
Hf: 0.750 0.750 0.750
Te: 0.500 0.500 0.500

***

3.
# HfCu2Te

A geometry-optimized HfCu2Te structure (PBE, the Open Quantum Materials Database).

The calculation puts the total energy at -4.969 eV per atom.

a b c (Å): 4.670 4.670 4.670
angles (deg): 60.00 60.00 60.00
Positions (direct):
Cu: 0.000 0.000 0.000
Cu: 0.250 0.250 0.250
Hf: 0.500 0.500 0.500
Te: 0.750 0.750 0.750

***

4.
# HfTlCu

A geometry-optimized HfTlCu structure (PBE, the Open Quantum Materials Database).

The calculation puts the total energy at -5.218 eV per atom.

a b c (Å): 4.250 4.250 6.537
angles (deg): 90.00 90.00 90.00
Positions (direct):
Cu: 0.000 0.000 0.000
Cu: 0.500 0.500 0.000
Hf: 0.000 0.500 0.279
Hf: 0.500 0.000 0.721
Tl: 0.500 0.000 0.273
Tl: 0.000 0.500 0.727

***

5.
# HfTl2Cu

A geometry-optimized HfTl2Cu structure (PBE, the Open Quantum Materials Database).

The calculation puts the total energy at -4.116 eV per atom.

a b c (Å): 4.981 4.981 4.981
angles (deg): 60.00 60.00 60.00
Positions (direct):
Cu: 0.250 0.250 0.250
Hf: 0.500 0.500 0.500
Tl: 0.000 0.000 0.000
Tl: 0.750 0.750 0.750

***

6.
# HfTl2Cu

A geometry-optimized HfTl2Cu structure (PBE, the Open Quantum Materials Database).

The calculation puts the total energy at -4.116 eV per atom.

a b c (Å): 4.981 4.981 4.981
angles (deg): 60.00 60.00 60.00
Positions (direct):
Cu: 0.500 0.500 0.500
Hf: 0.250 0.250 0.250
Tl: 0.000 0.000 0.000
Tl: 0.750 0.750 0.750

***

7.
# HfTlCu2

A geometry-optimized HfTlCu2 structure (PBE, the Open Quantum Materials Database).

The calculation puts the total energy at -4.740 eV per atom.

a b c (Å): 4.602 4.602 4.602
angles (deg): 60.00 60.00 60.00
Positions (direct):
Cu: 0.000 0.000 0.000
Cu: 0.750 0.750 0.750
Hf: 0.250 0.250 0.250
Tl: 0.500 0.500 0.500

***

8.
# Hf2TlCu

A geometry-optimized Hf2TlCu structure (PBE, the Open Quantum Materials Database).

The calculation puts the total energy at -6.023 eV per atom.

a b c (Å): 4.880 4.880 4.880
angles (deg): 60.00 60.00 60.00
Positions (direct):
Cu: 0.250 0.250 0.250
Hf: 0.000 0.000 0.000
Hf: 0.750 0.750 0.750
Tl: 0.500 0.500 0.500